The following is a DFT calculation (PBE) of crystalline ZrRu2Rh at its relaxed geometry.

- DFT formation energy: 0.11 eV/atom

a = 2.811 Å, b = 2.811 Å, c = 27.718 Å
α = 90.00°, β = 90.00°, γ = 120.00°
Fractional coordinates of all 12 atoms:
Zr (0.000, 0.000, 0.000)
Zr (0.333, 0.667, 0.667)
Zr (0.667, 0.333, 0.333)
Ru (0.000, 0.000, 0.242)
Ru (0.000, 0.000, 0.501)
Ru (0.333, 0.667, 0.167)
Ru (0.333, 0.667, 0.908)
Ru (0.667, 0.333, 0.575)
Ru (0.667, 0.333, 0.834)
Rh (0.000, 0.000, 0.754)
Rh (0.333, 0.667, 0.421)
Rh (0.667, 0.333, 0.087)



The following is a DFT calculation (PBE) of crystalline TbInPt at its relaxed geometry.

- DFT formation energy: -0.86 eV/atom

a = 6.694 Å, b = 6.694 Å, c = 6.694 Å
α = 90.00°, β = 90.00°, γ = 90.00°
Fractional coordinates of all 12 atoms:
Tb (0.000, 0.000, 0.000)
Tb (0.000, 0.500, 0.500)
Tb (0.500, 0.000, 0.500)
Tb (0.500, 0.500, 0.000)
In (0.000, 0.000, 0.500)
In (0.000, 0.500, 0.000)
In (0.500, 0.000, 0.000)
In (0.500, 0.500, 0.500)
Pt (0.250, 0.250, 0.250)
Pt (0.250, 0.750, 0.750)
Pt (0.750, 0.250, 0.750)
Pt (0.750, 0.750, 0.250)



The following is a DFT calculation (PBE) of crystalline TlGeTe2 at its relaxed geometry.

- Formation energy (no corrections): -0.11 eV per formula unit
- Excess energy over the best structure of this formula in the dataset: 114.8 meV/atom

a = 7.977 Å, b = 7.977 Å, c = 9.233 Å
α = 90.00°, β = 90.00°, γ = 90.00°
Fractional coordinates of all 16 atoms:
Tl (0.000, 0.000, 0.000)
Tl (0.000, 0.500, 0.250)
Tl (0.500, 0.000, 0.750)
Tl (0.500, 0.500, 0.500)
Ge (0.000, 0.000, 0.500)
Ge (0.000, 0.500, 0.750)
Ge (0.500, 0.000, 0.250)
Ge (0.500, 0.500, 0.000)
Te (0.190, 0.750, 0.625)
Te (0.250, 0.190, 0.375)
Te (0.250, 0.310, 0.875)
Te (0.310, 0.750, 0.125)
Te (0.690, 0.250, 0.125)
Te (0.750, 0.690, 0.875)
Te (0.750, 0.810, 0.375)
Te (0.810, 0.250, 0.625)



Number 1: VASP energy -8.507 eV per atom. Number 2: VASP energy -5.333 eV per atom. Number 3: VASP energy -3.343 eV per atom.